The following is a PBE calculation of crystalline CaZrTc2 at its relaxed geometry, from Alexandria via LeMat-Bulk.

Cell and atoms, written as CIF:
```
data_CaZrTc2
_chemical_formula_sum 'Ca1 Zr1 Tc2'
_cell_length_a 3.045
_cell_length_b 4.422
_cell_length_c 6.216
_cell_angle_alpha 90.00
_cell_angle_beta 98.67
_cell_angle_gamma 90.00
_space_group_name_H-M_alt 'P 1 2/m 1'
_space_group_IT_number 10
loop_
_space_group_symop_operation_xyz
'x,y,z'
'-x,-y,-z'
'-x,y,-z'
'x,-y,z'
loop_
_atom_site_label
_atom_site_fract_x
_atom_site_fract_y
_atom_site_fract_z
Ca1 0.000 0.000 0.000
Zr1 0.500 0.000 0.500
Tc1 0.236 0.500 0.683
```

* energy relative to the elements: 0.3188 eV per atom
* polymorph energy (0 for the lowest one): 0.157 eV/atom
* DOS(E_F): 4.41 states/eV/cell